No. 1
VASP calculation (PBE) on Al6CuNi12 after structural relaxation.

POSCAR file:
```
Al6CuNi12
1.0
4.344 2.508 3.503
-4.344 2.508 3.503
0.000 -5.016 3.503
Al Cu Ni
6 1 12
Direct
0.211 0.771 0.382
0.229 0.618 0.789
0.382 0.211 0.771
0.618 0.789 0.229
0.771 0.382 0.211
0.789 0.229 0.618
0.500 0.500 0.500
0.039 0.293 0.941
0.059 0.961 0.707
0.136 0.349 0.469
0.293 0.941 0.039
0.349 0.469 0.136
0.469 0.136 0.349
0.531 0.864 0.651
0.651 0.531 0.864
0.707 0.059 0.961
0.864 0.651 0.531
0.941 0.039 0.293
0.961 0.707 0.059
```

Computed properties:
Calculated volume = 12.05 A^3/atom
ΔH_f (0 K) = -580.4 kJ/mol of formula units
Space-group type = R-3
DOS at the Fermi energy = 12.79 states/eV/f.u.
Calculated total energy = -5.365 eV/atom
Magnetization = 0.0 μB/f.u.

=====

No. 2
VASP calculation (PBE) on Al2Cu3Ni after structural relaxation.

POSCAR file:
```
Al2Cu3Ni
1.0
5.388 0.000 0.000
-2.694 4.666 0.000
0.000 0.000 6.119
Al Cu Ni
4 6 2
Direct
0.000 0.000 0.000
0.000 0.500 0.000
0.500 0.000 0.000
0.500 0.500 0.000
0.169 0.339 0.661
0.169 0.831 0.661
0.339 0.169 0.339
0.661 0.831 0.661
0.831 0.169 0.339
0.831 0.661 0.339
0.333 0.667 0.314
0.667 0.333 0.686
```

Computed properties:
Calculated volume = 12.82 A^3/atom
ΔH_f (0 K) = -66.7 kJ/mol of formula units
Space-group type = P-3m1
DOS at the Fermi energy = 2.85 states/eV/f.u.
Calculated total energy = -4.374 eV/atom
Magnetization = 0.0 μB/f.u.

=====

No. 3
VASP calculation (PBE) on Al6CuNi5 after structural relaxation.

POSCAR file:
```
Al6CuNi5
1.0
4.102 0.000 0.000
0.000 5.823 0.000
-2.012 0.000 6.156
Al Cu Ni
6 1 5
Direct
0.000 0.245 0.000
0.000 0.755 0.000
0.331 0.247 0.662
0.331 0.753 0.662
0.669 0.247 0.338
0.669 0.753 0.338
0.500 0.500 0.000
0.166 0.000 0.331
0.168 0.500 0.334
0.500 0.000 0.000
0.832 0.500 0.666
0.834 0.000 0.669
```

Computed properties:
Calculated volume = 12.25 A^3/atom
ΔH_f (0 K) = -684.5 kJ/mol of formula units
Space-group type = P2/m
DOS at the Fermi energy = 4.37 states/eV/f.u.
Calculated total energy = -5.213 eV/atom
Magnetization = 0.0 μB/f.u.

=====

No. 4
VASP calculation (PBE) on Al2CuNi after structural relaxation.

POSCAR file:
```
Al2CuNi
1.0
5.019 0.000 0.000
0.000 4.156 0.000
0.000 0.000 5.106
Al Cu Ni
4 2 2
Direct
0.000 0.000 0.000
0.250 0.500 0.331
0.500 0.000 0.000
0.750 0.500 0.669
0.250 0.000 0.574
0.750 0.000 0.426
0.250 0.500 0.858
0.750 0.500 0.142
```

Computed properties:
Calculated volume = 13.31 A^3/atom
ΔH_f (0 K) = -117.5 kJ/mol of formula units
Space-group type = Pmma
DOS at the Fermi energy = 1.39 states/eV/f.u.
Calculated total energy = -4.645 eV/atom
Magnetization = 0.0 μB/f.u.

=====

No. 5
VASP calculation (PBE) on Al2CuNi after structural relaxation.

POSCAR file:
```
Al2CuNi
1.0
2.876 0.000 0.000
0.000 2.876 0.000
0.000 0.000 6.127
Al Cu Ni
2 1 1
Direct
0.000 0.000 0.236
0.000 0.000 0.764
0.500 0.500 0.500
0.500 0.500 0.000
```

Computed properties:
Calculated volume = 12.67 A^3/atom
ΔH_f (0 K) = -170.4 kJ/mol of formula units
Space-group type = P4/mmm
DOS at the Fermi energy = 0.90 states/eV/f.u.
Calculated total energy = -4.782 eV/atom
Magnetization = 0.0 μB/f.u.

=====

No. 6
VASP calculation (PBE) on Al4Cu2Ni after structural relaxation.

POSCAR file:
```
Al4Cu2Ni
1.0
4.018 0.000 0.000
-2.009 3.480 0.000
0.000 0.000 16.051
Al Cu Ni
8 4 2
Direct
0.000 0.000 0.000
0.000 0.000 0.196
0.000 0.000 0.500
0.000 0.000 0.696
0.333 0.667 0.093
0.333 0.667 0.791
0.667 0.333 0.291
0.667 0.333 0.593
0.333 0.667 0.632
0.333 0.667 0.939
0.667 0.333 0.132
0.667 0.333 0.439
0.000 0.000 0.347
0.000 0.000 0.847
```

Computed properties:
Calculated volume = 16.03 A^3/atom
ΔH_f (0 K) = -38.2 kJ/mol of formula units
Space-group type = P6_3mc
DOS at the Fermi energy = 2.67 states/eV/f.u.
Calculated total energy = -4.191 eV/atom
Magnetization = 0.0 μB/f.u.

=====

No. 7
VASP calculation (PBE) on Al4CuNi after structural relaxation.

POSCAR file:
```
Al4CuNi
1.0
0.000 3.585 3.585
3.585 0.000 3.585
3.585 3.585 0.000
Al Cu Ni
4 1 1
Direct
0.125 0.125 0.125
0.125 0.125 0.624
0.125 0.624 0.125
0.624 0.125 0.125
0.750 0.750 0.750
0.500 0.500 0.500
```

Computed properties:
Calculated volume = 15.36 A^3/atom
ΔH_f (0 K) = 145.9 kJ/mol of formula units
Space-group type = F-43m
DOS at the Fermi energy = 3.18 states/eV/f.u.
Calculated total energy = -3.889 eV/atom
Magnetization = 0.0 μB/f.u.

=====

No. 8
VASP calculation (PBE) on Al3Cu2Ni after structural relaxation.

POSCAR file:
```
Al3Cu2Ni
1.0
2.976 0.000 0.000
0.000 2.976 0.000
0.000 0.000 8.698
Al Cu Ni
3 2 1
Direct
0.000 0.000 0.000
0.000 0.000 0.342
0.000 0.000 0.658
0.500 0.500 0.168
0.500 0.500 0.832
0.500 0.500 0.500
```

Computed properties:
Calculated volume = 12.84 A^3/atom
ΔH_f (0 K) = -200.1 kJ/mol of formula units
Space-group type = P4/mmm
DOS at the Fermi energy = 1.69 states/eV/f.u.
Calculated total energy = -4.546 eV/atom
Magnetization = 0.0 μB/f.u.

=====

No. 9
VASP calculation (PBE) on Al3Cu3Ni after structural relaxation.

POSCAR file:
```
Al3Cu3Ni
1.0
3.863 0.000 0.000
0.000 5.208 0.000
0.000 0.000 9.653
Al Cu Ni
6 6 2
Direct
0.250 0.007 0.164
0.250 0.250 0.673
0.250 0.493 0.164
0.750 0.507 0.836
0.750 0.750 0.327
0.750 0.993 0.836
0.250 0.007 0.425
0.250 0.250 0.940
0.250 0.493 0.425
0.750 0.507 0.575
0.750 0.750 0.060
0.750 0.993 0.575
0.250 0.750 0.695
0.750 0.250 0.305
```

Computed properties:
Calculated volume = 13.87 A^3/atom
ΔH_f (0 K) = -88.6 kJ/mol of formula units
Space-group type = Pmmn
DOS at the Fermi energy = 2.52 states/eV/f.u.
Calculated total energy = -4.317 eV/atom
Magnetization = 0.0 μB/f.u.

=====

No. 10
VASP calculation (PBE) on AlCuNi2 after structural relaxation.

POSCAR file:
```
AlCuNi2
1.0
4.839 0.000 0.000
0.000 4.105 0.000
0.000 0.000 4.865
Al Cu Ni
2 2 4
Direct
0.250 0.000 0.189
0.750 0.000 0.811
0.250 0.500 0.472
0.750 0.500 0.528
0.000 0.500 0.000
0.250 0.000 0.710
0.500 0.500 0.000
0.750 0.000 0.290
```

Computed properties:
Calculated volume = 12.08 A^3/atom
ΔH_f (0 K) = -81.3 kJ/mol of formula units
Space-group type = Pmma
DOS at the Fermi energy = 1.94 states/eV/f.u.
Calculated total energy = -5.061 eV/atom
Magnetization = 0.0 μB/f.u.

=====

No. 11
VASP calculation (PBE) on AlCu2Ni5 after structural relaxation.

POSCAR file:
```
AlCu2Ni5
1.0
5.017 0.000 0.000
0.000 10.010 0.000
0.000 0.000 3.606
Al Cu Ni
2 4 10
Direct
0.000 0.000 0.000
0.500 0.500 0.000
0.234 0.372 0.500
0.266 0.872 0.500
0.734 0.128 0.500
0.766 0.628 0.500
0.000 0.500 0.000
0.016 0.751 0.000
0.238 0.124 0.500
0.262 0.624 0.500
0.484 0.251 0.000
0.500 0.000 0.000
0.516 0.749 0.000
0.738 0.376 0.500
0.762 0.876 0.500
0.984 0.249 0.000
```

Computed properties:
Calculated volume = 11.32 A^3/atom
ΔH_f (0 K) = -132.1 kJ/mol of formula units
Space-group type = Pbam
DOS at the Fermi energy = 9.52 states/eV/f.u.
Calculated total energy = -5.276 eV/atom
Magnetization = 0.0 μB/f.u.

=====

No. 12
VASP calculation (PBE) on Al4CuNi after structural relaxation.

POSCAR file:
```
Al4CuNi
1.0
4.413 0.000 0.000
-2.207 3.822 0.000
0.000 0.000 5.277
Al Cu Ni
4 1 1
Direct
0.333 0.667 0.248
0.333 0.667 0.752
0.667 0.333 0.248
0.667 0.333 0.752
0.000 0.000 0.500
0.000 0.000 0.000
```

Computed properties:
Calculated volume = 14.83 A^3/atom
ΔH_f (0 K) = 53.0 kJ/mol of formula units
Space-group type = P6/mmm
DOS at the Fermi energy = 3.09 states/eV/f.u.
Calculated total energy = -4.050 eV/atom
Magnetization = 0.0 μB/f.u.